A plane-wave DFT calculation with GGA-PBE was carried out for an optimized crystal structure of LiTb2ThTl4.

Structure (POSCAR):
```
LiTb2ThTl4
1.0
-5.110 -0.948 -0.917
-2.144 -4.583 1.501
-4.523 1.761 8.195
Tl Li Th Tb
4 1 1 2
direct
0.621 0.621 0.138 Tl
0.379 0.379 0.862 Tl
0.871 0.871 0.386 Tl
0.129 0.129 0.614 Tl
0.500 0.500 0.500 Li
0.000 0.000 0.000 Th
0.246 0.246 0.263 Tb
0.754 0.754 0.737 Tb
```

## Properties
* energy relative to the elements: -0.260 eV per atom
* symmetry: No. 166

=====

A plane-wave DFT calculation with GGA-PBE was carried out for an optimized crystal structure of NaSn2Pt2.

Structure (POSCAR):
```
NaSn2Pt2
1.0
4.638 0.000 0.000
0.000 4.839 0.058
0.000 -1.073 10.239
Sn Pt Na
4 4 2
direct
0.250 0.811 0.886 Sn
0.250 0.256 0.507 Sn
0.750 0.189 0.114 Sn
0.750 0.744 0.493 Sn
0.250 0.780 0.628 Pt
0.750 0.670 0.994 Pt
0.750 0.220 0.372 Pt
0.250 0.330 0.006 Pt
0.250 0.746 0.241 Na
0.750 0.254 0.759 Na
```

## Properties
* offset from the most stable computed form: 0 kJ/mol of formula units
* energy relative to the elements: -0.488 eV per atom
* symmetry: No. 11

=====

A plane-wave DFT calculation with GGA-PBE was carried out for an optimized crystal structure of InHgBr2.

Structure (POSCAR):
```
InHgBr2
1.0
4.277 0.000 0.000
2.138 3.704 0.000
2.138 1.235 9.893
In Br Hg
1 2 1
direct
0.666 0.666 0.001 In
0.054 0.054 0.837 Br
0.278 0.278 0.166 Br
0.501 0.501 0.496 Hg
```

## Properties
* offset from the most stable computed form: 56 kJ/mol of formula units
* formation energy (no corrections): -1.67 eV per formula unit
* symmetry: No. 160

=====

A plane-wave DFT calculation with GGA-PBE was carried out for an optimized crystal structure of SmDyP2.

Structure (POSCAR):
```
SmDyP2
1.0
-3.136 2.127 -1.316
-1.701 -0.903 -3.519
-5.914 -3.955 1.586
P Dy Sm
2 1 1
direct
0.080 0.080 0.759 P
0.253 0.253 0.241 P
0.669 0.669 0.993 Dy
0.498 0.498 0.507 Sm
```

## Properties
* offset from the most stable computed form: 62 kJ/mol of formula units
* energy relative to the elements: -1.430 eV per atom
* symmetry: No. 160